No. 1
This record from Alexandria via LeMat-Bulk describes RbHg2AuCl8 after structural relaxation. The functional is PBE.

## Properties
crystal system	triclinic
ΔE_f (raw)	-0.74	eV/atom
calculated total energy	-28.51	eV/cell

Structure (CIF):
```
data_RbHg2AuCl8
_chemical_formula_sum 'Rb1 Hg2 Au1 Cl8'
_symmetry_space_group_name_H-M 'P -1'
_symmetry_Int_Tables_number 2
_cell_length_a 7.063
_cell_length_b 7.422
_cell_length_c 8.945
_cell_angle_alpha 78.31
_cell_angle_beta 86.11
_cell_angle_gamma 70.53
loop_
_symmetry_equiv_pos_as_xyz
'x,y,z'
'-x,-y,-z'
loop_
_atom_site_label
_atom_site_type_symbol
_atom_site_fract_x
_atom_site_fract_y
_atom_site_fract_z
Rb1 Rb 0.000 0.000 0.000
Hg1 Hg 0.500 0.491 0.722
Au1 Au 0.000 0.000 0.500
Cl1 Cl 0.025 0.767 0.354
Cl2 Cl 0.030 0.761 0.719
Cl3 Cl 0.463 0.265 0.475
Cl4 Cl 0.482 0.262 0.940
```

---

No. 2
This record from Alexandria via LeMat-Bulk describes Rb2HgAuCl6 after structural relaxation. The functional is PBE.

## Properties
crystal system	tetragonal
ΔE_f (raw)	-1.04	eV/atom
calculated total energy	-53.99	eV/cell

Structure (CIF):
```
data_Rb2HgAuCl6
_chemical_formula_sum 'Rb4 Hg2 Au2 Cl12'
_symmetry_space_group_name_H-M 'I 4/m m m'
_symmetry_Int_Tables_number 139
_symmetry_space_group_name_Hall '-I 4 2'
_cell_length_a 7.532
_cell_length_b 7.532
_cell_length_c 11.017
_cell_angle_alpha 90.00
_cell_angle_beta 90.00
_cell_angle_gamma 90.00
loop_
_atom_site_label
_atom_site_type_symbol
_atom_site_fract_x
_atom_site_fract_y
_atom_site_fract_z
Rb1 Rb 0.000 0.500 0.250
Hg1 Hg 0.000 0.000 0.000
Au1 Au 0.000 0.000 0.500
Cl1 Cl 0.000 0.000 0.221
Cl2 Cl 0.230 0.230 0.500
```

---

No. 3
This record from Alexandria via LeMat-Bulk describes RbHgAuCl2 after structural relaxation. The functional is PBE.

## Properties
crystal system	tetragonal
ΔE_f (raw)	-0.64	eV/atom
calculated total energy	-11.45	eV/cell

Structure (CIF):
```
data_RbHgAuCl2
_chemical_formula_sum 'Rb1 Hg1 Au1 Cl2'
_symmetry_space_group_name_H-M 'P 4/m m m'
_symmetry_Int_Tables_number 123
_symmetry_space_group_name_Hall '-P 4 2'
_cell_length_a 5.511
_cell_length_b 5.511
_cell_length_c 5.369
_cell_angle_alpha 90.00
_cell_angle_beta 90.00
_cell_angle_gamma 90.00
loop_
_atom_site_label
_atom_site_type_symbol
_atom_site_fract_x
_atom_site_fract_y
_atom_site_fract_z
Rb1 Rb 0.000 0.000 0.000
Hg1 Hg 0.500 0.500 0.500
Au1 Au 0.500 0.500 0.000
Cl1 Cl 0.000 0.500 0.500
```

---

No. 4
This record from Alexandria via LeMat-Bulk describes Rb3Hg2AuCl9 after structural relaxation. The functional is PBE.

## Properties
crystal system	trigonal
ΔE_f (raw)	-1.04	eV/atom
calculated total energy	-39.07	eV/cell

Structure (CIF):
```
data_Rb3Hg2AuCl9
_chemical_formula_sum 'Rb3 Hg2 Au1 Cl9'
_symmetry_space_group_name_H-M 'P -3 m 1'
_symmetry_Int_Tables_number 164
_symmetry_space_group_name_Hall '-P 3 2"'
_cell_length_a 7.4843
_cell_length_b 7.4843
_cell_length_c 9.1891
_cell_angle_alpha 90.00
_cell_angle_beta 90.00
_cell_angle_gamma 120.00
loop_
_atom_site_label
_atom_site_type_symbol
_atom_site_fract_x
_atom_site_fract_y
_atom_site_fract_z
Rb1 Rb 0.0000 0.0000 0.0000
Rb2 Rb 0.3333 0.6667 0.6669
Hg1 Hg 0.3333 0.6667 0.1731
Au1 Au 0.0000 0.0000 0.5000
Cl1 Cl 0.0000 0.5000 0.0000
Cl2 Cl 0.1638 0.3276 0.3392
```

---

No. 5
This record from Alexandria via LeMat-Bulk describes HgAu2SCl after structural relaxation. The functional is PBE.

## Properties
crystal system	tetragonal
ΔE_f (raw)	0.15	eV/atom
calculated total energy	-12.06	eV/cell

Structure (CIF):
```
data_HgAu2SCl
_chemical_formula_sum 'Hg1 Au2 S1 Cl1'
_symmetry_space_group_name_H-M 'P 4/m m m'
_symmetry_Int_Tables_number 123
_symmetry_space_group_name_Hall '-P 4 2'
_cell_length_a 4.724
_cell_length_b 4.724
_cell_length_c 5.578
_cell_angle_alpha 90.00
_cell_angle_beta 90.00
_cell_angle_gamma 90.00
loop_
_atom_site_label
_atom_site_type_symbol
_atom_site_fract_x
_atom_site_fract_y
_atom_site_fract_z
Hg1 Hg 0.000 0.000 0.000
Au1 Au 0.000 0.500 0.500
S1 S 0.000 0.000 0.500
Cl1 Cl 0.500 0.500 0.000
```

---

No. 6
This record from Alexandria via LeMat-Bulk describes HgAuS2Cl after structural relaxation. The functional is PBE.

## Properties
crystal system	tetragonal
ΔE_f (raw)	0.47	eV/atom
calculated total energy	-11.34	eV/cell

Structure (CIF):
```
data_HgAuS2Cl
_chemical_formula_sum 'Hg1 Au1 S2 Cl1'
_symmetry_space_group_name_H-M 'P 4/m m m'
_symmetry_Int_Tables_number 123
_symmetry_space_group_name_Hall '-P 4 2'
_cell_length_a 4.913
_cell_length_b 4.913
_cell_length_c 4.938
_cell_angle_alpha 90.00
_cell_angle_beta 90.00
_cell_angle_gamma 90.00
loop_
_atom_site_label
_atom_site_type_symbol
_atom_site_fract_x
_atom_site_fract_y
_atom_site_fract_z
Hg1 Hg 0.000 0.000 0.000
Au1 Au 0.500 0.500 0.500
S1 S 0.000 0.500 0.500
Cl1 Cl 0.500 0.500 0.000
```

---

No. 7
This record from Alexandria via LeMat-Bulk describes Hg4AuSeCl2 after structural relaxation. The functional is PBE.

## Properties
crystal system	monoclinic
ΔE_f (raw)	-0.16	eV/atom
calculated total energy	-51.64	eV/cell

Structure (CIF):
```
data_Hg4AuSeCl2
_chemical_formula_sum 'Hg16 Au4 Se4 Cl8'
_symmetry_space_group_name_H-M 'C 1 2/c 1'
_symmetry_Int_Tables_number 15
_cell_length_a 11.065
_cell_length_b 13.145
_cell_length_c 7.871
_cell_angle_alpha 90.00
_cell_angle_beta 131.74
_cell_angle_gamma 90.00
loop_
_symmetry_equiv_pos_as_xyz
'x,y,z'
'-x,-y,-z'
'-x,y,-z+1/2'
'x,-y,z+1/2'
'x+1/2,y+1/2,z'
'-x+1/2,-y+1/2,-z'
'-x+1/2,y+1/2,-z+1/2'
'x+1/2,-y+1/2,z+1/2'
loop_
_atom_site_label
_atom_site_type_symbol
_atom_site_fract_x
_atom_site_fract_y
_atom_site_fract_z
Hg1 Hg 0.007 0.218 0.016
Hg2 Hg 0.241 0.022 0.485
Au1 Au 0.000 0.000 0.000
Se1 Se 0.250 0.250 0.500
Cl1 Cl 0.000 0.500 0.000
Cl2 Cl 0.250 0.250 0.000
```

---

No. 8
This record from Alexandria via LeMat-Bulk describes TlHg2AuCl6 after structural relaxation. The functional is PBE.

## Properties
crystal system	monoclinic
ΔE_f (raw)	-0.58	eV/atom
calculated total energy	-92.43	eV/cell

Structure (CIF):
```
data_TlHg2AuCl6
_chemical_formula_sum 'Tl4 Hg8 Au4 Cl24'
_symmetry_space_group_name_H-M 'C 1 2/c 1'
_symmetry_Int_Tables_number 15
_cell_length_a 14.700
_cell_length_b 12.819
_cell_length_c 7.735
_cell_angle_alpha 90.00
_cell_angle_beta 111.16
_cell_angle_gamma 90.00
loop_
_symmetry_equiv_pos_as_xyz
'x,y,z'
'-x,-y,-z'
'-x,y,-z+1/2'
'x,-y,z+1/2'
'x+1/2,y+1/2,z'
'-x+1/2,-y+1/2,-z'
'-x+1/2,y+1/2,-z+1/2'
'x+1/2,-y+1/2,z+1/2'
loop_
_atom_site_label
_atom_site_type_symbol
_atom_site_fract_x
_atom_site_fract_y
_atom_site_fract_z
Tl1 Tl 0.000 0.137 0.250
Hg1 Hg 0.200 0.448 0.197
Au1 Au 0.000 0.280 0.750
Cl1 Cl 0.120 0.420 0.446
Cl2 Cl 0.123 0.044 0.646
Cl3 Cl 0.130 0.269 0.027
```

---

No. 9
This record from Alexandria via LeMat-Bulk describes HgWAuCl2 after structural relaxation. The functional is PBE.

## Properties
crystal system	tetragonal
ΔE_f (raw)	0.21	eV/atom
calculated total energy	-19.16	eV/cell

Structure (CIF):
```
data_HgWAuCl2
_chemical_formula_sum 'Hg1 W1 Au1 Cl2'
_symmetry_space_group_name_H-M 'P 4/m m m'
_symmetry_Int_Tables_number 123
_symmetry_space_group_name_Hall '-P 4 2'
_cell_length_a 4.621
_cell_length_b 4.621
_cell_length_c 5.577
_cell_angle_alpha 90.00
_cell_angle_beta 90.00
_cell_angle_gamma 90.00
loop_
_atom_site_label
_atom_site_type_symbol
_atom_site_fract_x
_atom_site_fract_y
_atom_site_fract_z
Hg1 Hg 0.000 0.000 0.000
W1 W 0.500 0.500 0.500
Au1 Au 0.500 0.500 0.000
Cl1 Cl 0.000 0.500 0.500
```

---

No. 10
This record from Alexandria via LeMat-Bulk describes Zn2HgAuCl after structural relaxation. The functional is PBE.

## Properties
crystal system	tetragonal
ΔE_f (raw)	0.55	eV/atom
calculated total energy	-5.23	eV/cell

Structure (CIF):
```
data_Zn2HgAuCl
_chemical_formula_sum 'Zn2 Hg1 Au1 Cl1'
_symmetry_space_group_name_H-M 'P 4/m m m'
_symmetry_Int_Tables_number 123
_symmetry_space_group_name_Hall '-P 4 2'
_cell_length_a 4.799
_cell_length_b 4.799
_cell_length_c 6.066
_cell_angle_alpha 90.00
_cell_angle_beta 90.00
_cell_angle_gamma 90.00
loop_
_atom_site_label
_atom_site_type_symbol
_atom_site_fract_x
_atom_site_fract_y
_atom_site_fract_z
Zn1 Zn 0.000 0.500 0.000
Hg1 Hg 0.000 0.000 0.500
Au1 Au 0.500 0.500 0.500
Cl1 Cl 0.000 0.000 0.000
```

---

No. 11
This record from Alexandria via LeMat-Bulk describes HoAuCl after structural relaxation. The functional is PBE.

## Properties
crystal system	monoclinic
ΔE_f (raw)	-1.36	eV/atom
calculated total energy	-55.08	eV/cell

Structure (CIF):
```
data_HoAuCl
_chemical_formula_sum 'Ho4 Au4 Cl4'
_symmetry_space_group_name_H-M 'C 1 2/m 1'
_symmetry_Int_Tables_number 12
_cell_length_a 9.327
_cell_length_b 3.791
_cell_length_c 11.113
_cell_angle_alpha 90.00
_cell_angle_beta 112.14
_cell_angle_gamma 90.00
loop_
_symmetry_equiv_pos_as_xyz
'x,y,z'
'-x,-y,-z'
'-x,y,-z'
'x,-y,z'
'x+1/2,y+1/2,z'
'-x+1/2,-y+1/2,-z'
'-x+1/2,y+1/2,-z'
'x+1/2,-y+1/2,z'
loop_
_atom_site_label
_atom_site_type_symbol
_atom_site_fract_x
_atom_site_fract_y
_atom_site_fract_z
Ho1 Ho 0.009 0.000 0.171
Au1 Au 0.165 0.500 0.045
Cl1 Cl 0.074 0.500 0.350
```

---

No. 12
This record from Alexandria via LeMat-Bulk describes Ho2AuCl after structural relaxation. The functional is PBE.

## Properties
crystal system	trigonal
ΔE_f (raw)	-1.02	eV/atom
calculated total energy	-55.08	eV/cell

Structure (CIF):
```
data_Ho2AuCl
_chemical_formula_sum 'Ho6 Au3 Cl3'
_symmetry_space_group_name_H-M 'R -3 m'
_symmetry_Int_Tables_number 166
_symmetry_space_group_name_Hall '-R 3 2"'
_cell_length_a 4.3806
_cell_length_b 4.3806
_cell_length_c 24.1214
_cell_angle_alpha 90.00
_cell_angle_beta 90.00
_cell_angle_gamma 120.00
loop_
_atom_site_label
_atom_site_type_symbol
_atom_site_fract_x
_atom_site_fract_y
_atom_site_fract_z
Ho1 Ho 0.0000 0.0000 0.1096
Au1 Au 0.0000 0.0000 0.5000
Cl1 Cl 0.0000 0.0000 0.0000
```

---

Number 1: total magnetic moment 0.000 μB/cell. Number 2: total magnetic moment 0.000 μB/cell. Number 3: total magnetic moment 0.000 μB/cell. Number 4: total magnetic moment 0.000 μB/cell. Number 5: total magnetic moment 0.000 μB/cell. Number 6: total magnetic moment 0.000 μB/cell. Number 7: total magnetic moment 0.000 μB/cell. Number 8: total magnetic moment 0.000 μB/cell. Number 9: total magnetic moment 0.000 μB/cell. Number 10: total magnetic moment 0.000 μB/cell. Number 11: total magnetic moment 0.000 μB/cell. Number 12: total magnetic moment 0.000 μB/cell.